Entry 1:
A geometry-optimized NbV4Zn structure. Source: the Alexandria database, functional PBE.

The calculation puts the formation enthalpy at 0 K at 0.12 eV/atom. The calculation puts the volume at 14.774 A^3/atom.

The structure belongs to space group F-43m (No. 216); the cell edges are 7.0778, 7.0778 and 7.0778 Å and the angles 90.00°, 90.00° and 90.00°. The inequivalent atoms are Nb at (0.0000, 0.0000, 0.0000), V at (0.1277, 0.1277, 0.3723) and Zn at (0.2500, 0.2500, 0.7500).

=====

Entry 2:
A geometry-optimized CrAgSe2 structure. Source: the Alexandria database, functional PBE.

As for the raw formation energy: 0.073 eV per atom. The calculation puts the volume at 18.629 A^3/atom.

The structure belongs to space group Fm-3m (No. 225); the cell edges are 6.6799, 6.6799 and 6.6799 Å and the angles 90.00°, 90.00° and 90.00°. The inequivalent atoms are Cr at (0.0000, 0.0000, 0.0000), Ag at (0.0000, 0.0000, 0.5000) and Se at (0.2500, 0.2500, 0.2500).

=====

Entry 3:
A geometry-optimized HgPt2Rh structure. Source: the Alexandria database, functional PBE.

The calculation puts the formation enthalpy at 0 K at 0.09 eV/atom. The calculation puts the volume at 16.485 A^3/atom.

The structure belongs to space group I4/mmm (No. 139); the cell edges are 4.0253, 4.0253 and 8.1391 Å and the angles 90.00°, 90.00° and 90.00°. The inequivalent atoms are Hg at (0.0000, 0.0000, 0.0000), Pt at (0.0000, 0.5000, 0.2500) and Rh at (0.0000, 0.0000, 0.5000).

=====

Entry 4:
A geometry-optimized MoRh3I structure. Source: the Alexandria database, functional PBE.

As for the raw formation energy: 1.568 eV per atom. The calculation puts the volume at 22.076 A^3/atom. The value obtained for the excess energy over the best structure of this formula in the dataset is 439 meV per atom.

The structure belongs to space group Pm-3m (No. 221); the cell edges are 4.7970, 4.7970 and 4.7970 Å and the angles 90.00°, 90.00° and 90.00°. The inequivalent atoms are Mo at (0.0000, 0.0000, 0.0000), Rh at (0.0000, 0.5000, 0.5000) and I at (0.5000, 0.5000, 0.5000).

=====

Entry 5:
A geometry-optimized Li4Sm3Ga4 structure. Source: the Alexandria database, functional PBE.

The calculation puts the formation enthalpy at 0 K at -0.37 eV/atom. The calculation puts the volume at 21.263 A^3/atom. The value obtained for the excess energy over the best structure of this formula in the dataset is 0 meV per atom.

The structure belongs to space group Immm (No. 71); the cell edges are 3.4660, 4.6727 and 28.8839 Å and the angles 90.00°, 90.00° and 90.00°. The inequivalent atoms are Li at (0.0000, 0.0000, 0.0921), Li at (0.0000, 0.5000, 0.2426), Sm at (0.0000, 0.0000, 0.3577), Sm at (0.0000, 0.5000, 0.5000), Ga at (0.0000, 0.0000, 0.1835) and Ga at (0.0000, 0.5000, 0.0475).

=====

Entry 6:
A geometry-optimized LiAsW structure. Source: the Alexandria database, functional PBE.

The calculation puts the formation enthalpy at 0 K at -0.26 eV/atom. The calculation puts the volume at 17.125 A^3/atom. The value obtained for the excess energy over the best structure of this formula in the dataset is 0 meV per atom.

The structure belongs to space group P4/nmm (No. 129, origin choice 2); the cell edges are 3.8863, 3.8863 and 6.8033 Å and the angles 90.00°, 90.00° and 90.00°. The inequivalent atoms are Li at (0.2500, 0.2500, 0.1557), As at (0.2500, 0.2500, 0.7635) and W at (0.2500, 0.7500, 0.5000).

=====

Entry 7:
A geometry-optimized TeIrRh2 structure. Source: the Alexandria database, functional PBE.

As for the raw formation energy: 0.274 eV per atom. The calculation puts the volume at 16.502 A^3/atom.

The structure belongs to space group P4/mmm (No. 123); the cell edges are 3.0208, 3.0208 and 7.2335 Å and the angles 90.00°, 90.00° and 90.00°. The inequivalent atoms are Te at (0.0000, 0.0000, 0.0000), Ir at (0.0000, 0.0000, 0.5000) and Rh at (0.5000, 0.5000, 0.2620).

=====

Entry 8:
A geometry-optimized K2PmCuF6 structure. Source: the Alexandria database, functional PBE.

As for the raw formation energy: -2.902 eV per atom. The calculation puts the volume at 19.310 A^3/atom.

The structure belongs to space group P2_1/c (No. 14); the cell edges are 6.8322, 7.0240 and 10.4625 Å and the angles 90.00°, 129.72° and 90.00°. The inequivalent atoms are K at (0.2372, 0.0422, 0.2517), Pm at (0.5000, 0.0000, 0.0000), Cu at (0.0000, 0.0000, 0.5000), F at (0.1489, 0.0433, 0.7227), F at (0.2364, 0.6352, 0.5320) and F at (0.4078, 0.2104, 0.5404).